First-principles (PBE) data for a relaxed structure of LiAlSi, as listed in Alexandria.

Cell lengths 2.9464, 2.9464, 6.3543 Å; angles 90.00, 90.00, 120.00 degrees
Closest atoms and distances in Å follow each position.
Fractional positions:
Li 0.6667 0.3333 0.3454  3 Si 2.66, 3 Al 2.84, 6 Li 2.95
Si 0.3333 0.6667 0.6677  3 Al 2.65, 3 Li 2.66, 6 Si 2.95
Al 0.0000 0.0000 0.9869  3 Si 2.65, 3 Li 2.84, 6 Al 2.95

Properties
Formation energy (no corrections), eV per atom: 0.027
Energy, eV/atom: -3.667
Crystal system: trigonal
Size of the total moment, μB/atom: 0.000